Here is a relaxed ZrFe2Tc crystal from the Alexandria database. Energies are from PBE.

Unit cell a=6.958 b=6.958 c=5.264 alpha=90.00 beta=90.00 gamma=90.00
Space group I-42d (No. 122)
Inequivalent atoms, fractional coordinates:
Zr (0.000, 0.000, 0.000) [4 per cell]
Fe (0.221, 0.750, 0.625) [8 per cell]
Tc (0.000, 0.000, 0.500) [4 per cell]

Energy of formation from the pure elements = 0.397 eV/atom
Spin magnetization = 4.338 μB per formula unit
Volume = 15.9 A^3/atom
E above lowest polymorph = 150 kJ/mol of formula units